Computed, not measured: an optimized crystal structure of Ti3Ir2Pt2 at the PBE level of DFT.

* calculated formation energy: -17.99 kcal/mol of atoms
* total moment: 0.00 μB/cell
* calculated density: 13.31 g/cm3

Cell and atoms, written as CIF:
```
data_Ti3Ir2Pt2
_symmetry_space_group_name_H-M 'C 1 2/m 1'
_symmetry_Int_Tables_number 12
_cell_length_a 7.8746
_cell_length_b 4.1714
_cell_length_c 7.8622
_cell_angle_alpha 90.00
_cell_angle_beta 117.47
_cell_angle_gamma 90.00
loop_
_symmetry_equiv_pos_as_xyz
'x,y,z'
'-x,-y,-z'
'-x,y,-z'
'x,-y,z'
'x+1/2,y+1/2,z'
'-x+1/2,-y+1/2,-z'
'-x+1/2,y+1/2,-z'
'x+1/2,-y+1/2,z'
loop_
_atom_site_label
_atom_site_type_symbol
_atom_site_fract_x
_atom_site_fract_y
_atom_site_fract_z
Ti1 Ti 0.0000 0.0000 0.0000
Ti2 Ti 0.0250 0.5000 0.7264
Ir1 Ir 0.2238 0.5000 0.1154
Pt1 Pt 0.2170 0.0000 0.3758
```